# 1
# GGA-PBE FeSi2Pb, relaxed
data_FeSi2Pb
_chemical_formula_sum 'Fe1 Si2 Pb1'
_symmetry_space_group_name_H-M 'P 1'
_symmetry_Int_Tables_number 1
_cell_length_a 5.789
_cell_length_b 5.789
_cell_length_c 5.789
_cell_angle_alpha 151.60
_cell_angle_beta 128.12
_cell_angle_gamma 60.19
loop_
_symmetry_equiv_pos_as_xyz
'x,y,z'
loop_
_atom_site_label
_atom_site_fract_x
_atom_site_fract_y
_atom_site_fract_z
_atom_site_occupancy
Pb1 0.750 0.250 0.500 1
Si1 0.052 0.052 0.000 1
Si2 0.448 0.448 0.000 1
Fe1 0.250 0.750 0.500 1
# Calculated total energy, eV per cell: -20.89
# DOS at the Fermi energy, states/eV/f.u.: 3.37
# Mass density, Mg/m³: 7.36
# Symmetry: Immm (71)
# Crystal system: orthorhombic
# Formation energy (no corrections), eV/atom: 0.531

# 2
# GGA-PBE FeSiPb2, relaxed
data_FeSiPb2
_chemical_formula_sum 'Fe1 Si1 Pb2'
_symmetry_space_group_name_H-M 'P 1'
_symmetry_Int_Tables_number 1
_cell_length_a 5.233
_cell_length_b 5.233
_cell_length_c 5.714
_cell_angle_alpha 78.42
_cell_angle_beta 78.42
_cell_angle_gamma 36.28
loop_
_symmetry_equiv_pos_as_xyz
'x,y,z'
loop_
_atom_site_label
_atom_site_fract_x
_atom_site_fract_y
_atom_site_fract_z
_atom_site_occupancy
Si1 0.750 0.750 0.750 1
Pb1 0.986 0.986 0.011 1
Pb2 0.514 0.514 0.489 1
Fe1 0.250 0.250 0.250 1
# Calculated total energy, eV per cell: -18.32
# DOS at the Fermi energy, states/eV/f.u.: 3.87
# Mass density, Mg/m³: 9.14
# Symmetry: C2/m (12)
# Crystal system: monoclinic
# Formation energy (no corrections), eV/atom: 0.745

# 3
# GGA-PBE FeSiPb2, relaxed
data_FeSiPb2
_chemical_formula_sum 'Fe1 Si1 Pb2'
_symmetry_space_group_name_H-M 'P 1'
_symmetry_Int_Tables_number 1
_cell_length_a 7.219
_cell_length_b 7.219
_cell_length_c 7.219
_cell_angle_alpha 151.88
_cell_angle_beta 147.68
_cell_angle_gamma 43.36
loop_
_symmetry_equiv_pos_as_xyz
'x,y,z'
loop_
_atom_site_label
_atom_site_fract_x
_atom_site_fract_y
_atom_site_fract_z
_atom_site_occupancy
Si1 0.575 0.575 0.000 1
Pb1 0.262 0.762 0.500 1
Pb2 0.979 0.979 0.000 1
Fe1 0.684 0.184 0.500 1
# Calculated total energy, eV per cell: -19.69
# DOS at the Fermi energy, states/eV/f.u.: 2.67
# Mass density, Mg/m³: 8.75
# Symmetry: Imm2 (44)
# Crystal system: orthorhombic
# Formation energy (no corrections), eV/atom: 0.403